(1)
First-principles (PBE) data for crystalline Y3Zn3PtAu2 at its relaxed geometry, as listed in OQMD.

Cell: 7.3619 7.3619 3.9565 Å, 90.00 90.00 120.00°
Closest atoms and distances in Å follow each position.
Atoms (fractional coordinates):
Y: 0.0000 0.3985 0.0000  1 Pt 2.93, 4 Au 3.00, 4 Zn 3.24
Y: 0.3985 0.0000 0.0000  1 Pt 2.93, 4 Au 3.00, 4 Zn 3.24
Y: 0.6015 0.6015 0.0000  1 Pt 2.93, 4 Au 3.00, 4 Zn 3.24
Zn: 0.0000 0.7567 0.5000  2 Pt 2.67, 2 Au 2.84
Zn: 0.2433 0.2433 0.5000  2 Pt 2.67, 2 Au 2.84
Zn: 0.7567 0.0000 0.5000  2 Pt 2.67, 2 Au 2.84
Pt: 0.0000 0.0000 0.0000  6 Zn 2.67, 3 Y 2.93
Au: 0.3333 0.6667 0.5000  3 Zn 2.84, 6 Y 3.00
Au: 0.6667 0.3333 0.5000  3 Zn 2.84, 6 Y 3.00

The total energy is -4.747 eV/atom. As for the space-group type: P-62m, No. 189. For the mass density, the calculation gives 9.407 g/cm3. Its formation energy from the elements is -6.9 eV/f.u.

---

(2)
First-principles (PBE) data for crystalline Sm2F at its relaxed geometry, as listed in OQMD.

Cell: 6.1686 6.1686 6.1686 Å, 60.00 60.00 60.00°
Closest atoms and distances in Å follow each position.
Atoms (fractional coordinates):
Sm: 0.0000 0.0000 0.0000  6 Sm 3.08
Sm: 0.0000 0.0000 0.5000  6 Sm 3.08
Sm: 0.0000 0.5000 0.0000  6 Sm 3.08
Sm: 0.5000 0.0000 0.0000  6 Sm 3.08
F: 0.3750 0.3750 0.3750  12 Sm 3.62, 4 F 3.78
F: 0.6250 0.6250 0.6250  12 Sm 3.62, 4 F 3.78

The total energy is -3.760 eV/atom. As for the space-group type: Fd-3m, No. 227. For the mass density, the calculation gives 6.397 g/cm3.